1.
A relaxed Ca2PrRh crystal. Source: Alexandria via LeMat-Bulk, functional PBE.

Cell lengths 4.0055, 6.6706, 9.6178 Å; angles 90.00, 90.00, 107.47 degrees
Sites, in units of the cell vectors:
Ca (0.3511, 0.7022, 0.9321)
Ca (0.6489, 0.2978, 0.0679)
Ca (0.6489, 0.2978, 0.4321)
Ca (0.3511, 0.7022, 0.5679)
Rh (0.2680, 0.5366, 0.2500)
Rh (0.7320, 0.4634, 0.7500)
Pr (0.9202, 0.8407, 0.2500)
Pr (0.0798, 0.1593, 0.7500)

Computed properties:
Energy relative to the lowest polymorph listed for this composition   0 meV per atom
DFT formation energy   -1.45 eV per formula unit

2.
A relaxed Ca2Pr2Rh3 crystal. Source: Alexandria via LeMat-Bulk, functional PBE.

Cell lengths 4.9661, 4.9687, 8.5372 Å; angles 90.02, 106.91, 119.97 degrees
Sites, in units of the cell vectors:
Rh (0.5119, 0.2554, 0.7682)
Rh (0.4881, 0.7446, 0.2318)
Rh (0.0000, 0.0000, 0.0000)
Pr (0.2423, 0.6210, 0.8636)
Pr (0.7577, 0.3790, 0.1364)
Ca (0.7440, 0.8717, 0.6162)
Ca (0.2560, 0.1283, 0.3838)

Computed properties:
Energy relative to the lowest polymorph listed for this composition   0 meV per atom
DFT formation energy   -3.42 eV per formula unit

3.
A relaxed Ca3Pr3Rh4 crystal. Source: Alexandria via LeMat-Bulk, functional PBE.

Cell lengths 3.8012, 8.0914, 8.0914 Å; angles 90.93, 90.00, 90.00 degrees
Sites, in units of the cell vectors:
Rh (0.0000, 0.1414, 0.1530)
Rh (0.0000, 0.8470, 0.8586)
Rh (0.0000, 0.3605, 0.6395)
Rh (0.0000, 0.6483, 0.3517)
Ca (0.5000, 0.1515, 0.8485)
Ca (0.0000, 0.0038, 0.5053)
Ca (0.0000, 0.4947, 0.9962)
Pr (0.5000, 0.8517, 0.1483)
Pr (0.5000, 0.6530, 0.6519)
Pr (0.5000, 0.3481, 0.3470)

Computed properties:
DFT formation energy   -4.82 eV per formula unit

4.
A relaxed Ca2PrRh crystal. Source: Alexandria via LeMat-Bulk, functional PBE.

Cell lengths 3.5493, 3.5493, 11.2324 Å; angles 80.91, 80.91, 60.00 degrees
Sites, in units of the cell vectors:
Pr (0.0000, 0.0000, 0.0000)
Ca (0.8920, 0.8920, 0.3240)
Ca (0.1080, 0.1080, 0.6760)
Rh (0.5000, 0.5000, 0.5000)

Computed properties:
Energy relative to the lowest polymorph listed for this composition   378 meV per atom
DFT formation energy   0.06 eV per formula unit

5.
A relaxed CaPr3Rh2 crystal. Source: Alexandria via LeMat-Bulk, functional PBE.

Cell lengths 5.6293, 3.8293, 7.7776 Å; angles 90.00, 111.22, 90.00 degrees
Sites, in units of the cell vectors:
Rh (0.1549, 0.5000, 0.3097)
Rh (0.8451, 0.5000, 0.6903)
Pr (0.3034, 0.0000, 0.6068)
Pr (0.5000, 0.5000, 0.0000)
Pr (0.6966, 0.0000, 0.3932)
Ca (0.0000, 0.0000, 0.0000)

Computed properties:
Energy relative to the lowest polymorph listed for this composition   252 meV per atom
DFT formation energy   -1.20 eV per formula unit

6.
A relaxed CaPr2Sb3Rh4 crystal. Source: Alexandria via LeMat-Bulk, functional PBE.

Cell lengths 4.3909, 4.3909, 11.5072 Å; angles 90.00, 90.00, 90.00 degrees
Sites, in units of the cell vectors:
Rh (0.5000, 0.0000, 0.6495)
Rh (0.5000, 0.5000, 0.0000)
Rh (0.0000, 0.0000, 0.0000)
Rh (0.0000, 0.5000, 0.3505)
Ca (0.5000, 0.5000, 0.5000)
Pr (0.0000, 0.5000, 0.7653)
Pr (0.5000, 0.0000, 0.2347)
Sb (0.5000, 0.0000, 0.8715)
Sb (0.0000, 0.5000, 0.1285)
Sb (0.0000, 0.0000, 0.5000)

Computed properties:
Formation energy without anion corrections   -7.88 eV/f.u.

7.
A relaxed SrCa2PrRh crystal. Source: Alexandria via LeMat-Bulk, functional PBE.

Cell lengths 5.5771, 5.7326, 5.7326 Å; angles 90.00, 90.00, 90.00 degrees
Sites, in units of the cell vectors:
Ca (0.0000, 0.0000, 0.5000)
Ca (0.0000, 0.5000, 0.0000)
Pr (0.5000, 0.0000, 0.0000)
Sr (0.5000, 0.5000, 0.5000)
Rh (0.0000, 0.0000, 0.0000)

Computed properties:
DFT formation energy   -1.23 eV per formula unit

8.
A relaxed CaPr2Ta2Rh5 crystal. Source: Alexandria via LeMat-Bulk, functional PBE.

Cell lengths 3.7937, 10.5454, 10.5454 Å; angles 90.00, 90.00, 90.00 degrees
Sites, in units of the cell vectors:
Rh (0.5000, 0.5649, 0.7255)
Rh (0.5000, 0.2255, 0.0649)
Rh (0.5000, 0.0000, 0.5000)
Rh (0.5000, 0.4351, 0.2745)
Rh (0.5000, 0.9351, 0.2255)
Rh (0.5000, 0.5000, 0.0000)
Rh (0.5000, 0.7745, 0.9351)
Rh (0.5000, 0.7255, 0.4351)
Rh (0.5000, 0.0649, 0.7745)
Rh (0.5000, 0.2745, 0.5649)
Ta (0.0000, 0.1167, 0.6167)
Ta (0.0000, 0.8833, 0.3833)
Ta (0.0000, 0.6167, 0.8833)
Ta (0.0000, 0.3833, 0.1167)
Pr (0.0000, 0.3199, 0.8199)
Pr (0.0000, 0.8199, 0.6801)
Pr (0.0000, 0.1801, 0.3199)
Pr (0.0000, 0.6801, 0.1801)
Ca (0.0000, 0.5000, 0.5000)
Ca (0.0000, 0.0000, 0.0000)

Computed properties:
DFT formation energy   -3.70 eV per formula unit

9.
A relaxed CaPr2Zr2Rh5 crystal. Source: Alexandria via LeMat-Bulk, functional PBE.

Cell lengths 3.6728, 10.7928, 10.7928 Å; angles 90.00, 90.00, 90.00 degrees
Sites, in units of the cell vectors:
Zr (0.0000, 0.3760, 0.1240)
Zr (0.0000, 0.6240, 0.8760)
Zr (0.0000, 0.8760, 0.3760)
Zr (0.0000, 0.1240, 0.6240)
Rh (0.5000, 0.7901, 0.9397)
Rh (0.5000, 0.7099, 0.4397)
Rh (0.5000, 0.4397, 0.2901)
Rh (0.5000, 0.0603, 0.7901)
Rh (0.5000, 0.9397, 0.2099)
Rh (0.5000, 0.2099, 0.0603)
Rh (0.5000, 0.2901, 0.5603)
Rh (0.5000, 0.0000, 0.5000)
Rh (0.5000, 0.5603, 0.7099)
Rh (0.5000, 0.5000, 0.0000)
Pr (0.0000, 0.8230, 0.6770)
Pr (0.0000, 0.3230, 0.8230)
Pr (0.0000, 0.1770, 0.3230)
Pr (0.0000, 0.6770, 0.1770)
Ca (0.0000, 0.0000, 0.0000)
Ca (0.0000, 0.5000, 0.5000)

Computed properties:
DFT formation energy   -4.56 eV per formula unit

10.
A relaxed CaPrRu4 crystal. Source: Alexandria via LeMat-Bulk, functional PBE.

Cell lengths 5.4007, 5.4007, 5.4007 Å; angles 60.00, 60.00, 60.00 degrees
Sites, in units of the cell vectors:
Ca (0.0000, 0.0000, 0.0000)
Ru (0.6252, 0.1243, 0.6252)
Ru (0.6252, 0.6252, 0.6252)
Ru (0.1243, 0.6252, 0.6252)
Ru (0.6252, 0.6252, 0.1243)
Pr (0.2500, 0.2500, 0.2500)

Computed properties:
DFT formation energy   0.01 eV per formula unit

11.
A relaxed CaPr4Ru2 crystal. Source: Alexandria via LeMat-Bulk, functional PBE.

Cell lengths 7.3488, 7.4338, 9.6879 Å; angles 116.98, 113.57, 84.58 degrees
Sites, in units of the cell vectors:
Ca (0.0880, 0.5879, 0.4999)
Ca (0.1825, 0.1715, 0.0028)
Pr (0.3290, 0.6866, 0.2411)
Pr (0.8220, 0.9822, 0.5480)
Pr (0.8688, 0.6417, 0.7686)
Pr (0.4075, 0.6377, 0.8598)
Pr (0.7721, 0.5385, 0.1374)
Pr (0.8753, 0.1026, 0.2445)
Pr (0.4447, 0.2772, 0.4544)
Pr (0.4355, 0.0883, 0.7436)
Ru (0.7540, 0.3295, 0.8015)
Ru (0.6418, 0.4344, 0.3212)
Ru (0.1056, 0.3252, 0.6791)
Ru (0.5233, 0.9466, 0.1981)

Computed properties:
Energy relative to the lowest polymorph listed for this composition   119 meV per atom
DFT formation energy   0.39 eV per formula unit

12.
A relaxed CaPr2Ru crystal. Source: Alexandria via LeMat-Bulk, functional PBE.

Cell lengths 3.9945, 3.9945, 11.0784 Å; angles 79.61, 79.61, 60.00 degrees
Sites, in units of the cell vectors:
Pr (0.1169, 0.1169, 0.6493)
Pr (0.8831, 0.8831, 0.3507)
Ru (0.5000, 0.5000, 0.5000)
Ca (0.0000, 0.0000, 0.0000)

Computed properties:
Energy relative to the lowest polymorph listed for this composition   193 meV per atom
DFT formation energy   0.33 eV per formula unit

13.
A relaxed CaPr4Ru crystal. Source: Alexandria via LeMat-Bulk, functional PBE.

Cell lengths 6.3619, 7.6802, 9.7794 Å; angles 113.12, 108.98, 90.00 degrees
Sites, in units of the cell vectors:
Ru (0.7404, 0.4996, 0.9993)
Ru (0.2596, 0.5004, 0.0007)
Pr (0.3924, 0.1470, 0.7850)
Pr (0.6076, 0.8530, 0.2150)
Pr (0.8297, 0.3296, 0.6591)
Pr (0.6076, 0.3620, 0.2150)
Pr (0.0000, 0.7867, 0.0000)
Pr (0.1703, 0.6704, 0.3409)
Pr (0.0000, 0.2133, 0.0000)
Pr (0.3924, 0.6380, 0.7850)
Ca (0.7997, 0.7997, 0.5993)
Ca (0.2003, 0.2003, 0.4007)

Computed properties:
DFT formation energy   -0.14 eV per formula unit

14.
A relaxed CaPr2Ru crystal. Source: Alexandria via LeMat-Bulk, functional PBE.

Cell lengths 4.0848, 6.6671, 9.2749 Å; angles 90.00, 90.00, 107.79 degrees
Sites, in units of the cell vectors:
Ca (0.9226, 0.8452, 0.2500)
Ca (0.0774, 0.1548, 0.7500)
Ru (0.7515, 0.5039, 0.7500)
Ru (0.2485, 0.4961, 0.2500)
Pr (0.3544, 0.7090, 0.5665)
Pr (0.6456, 0.2910, 0.4335)
Pr (0.6456, 0.2910, 0.0665)
Pr (0.3544, 0.7090, 0.9335)

Computed properties:
Energy relative to the lowest polymorph listed for this composition   22 meV per atom
DFT formation energy   -0.35 eV per formula unit

15.
A relaxed CaPr2Ru crystal. Source: Alexandria via LeMat-Bulk, functional PBE.

Cell lengths 3.5497, 3.5497, 9.9622 Å; angles 90.00, 90.00, 90.00 degrees
Sites, in units of the cell vectors:
Pr (0.0000, 0.0000, 0.8274)
Pr (0.0000, 0.0000, 0.1726)
Ru (0.5000, 0.5000, 0.0000)
Ca (0.5000, 0.5000, 0.5000)

Computed properties:
Energy relative to the lowest polymorph listed for this composition   50 meV per atom
DFT formation energy   -0.24 eV per formula unit

16.
A relaxed CaPr3Ru crystal. Source: Alexandria via LeMat-Bulk, functional PBE.

Cell lengths 5.6328, 5.6328, 5.6328 Å; angles 90.00, 90.00, 90.00 degrees
Sites, in units of the cell vectors:
Ru (0.0000, 0.0000, 0.0000)
Ca (0.5000, 0.5000, 0.5000)
Pr (0.0000, 0.0000, 0.5000)
Pr (0.0000, 0.5000, 0.0000)
Pr (0.5000, 0.0000, 0.0000)

Computed properties:
Energy relative to the lowest polymorph listed for this composition   11 meV per atom
DFT formation energy   -0.28 eV per formula unit

17.
A relaxed CaPr4Ru2 crystal. Source: Alexandria via LeMat-Bulk, functional PBE.

Cell lengths 6.9539, 8.7679, 7.8455 Å; angles 117.39, 90.00, 90.00 degrees
Sites, in units of the cell vectors:
Pr (0.9982, 0.5967, 0.2916)
Pr (0.7500, 0.7640, 0.7488)
Pr (0.2500, 0.9924, 0.6909)
Pr (0.5018, 0.5967, 0.2916)
Pr (0.2500, 0.2360, 0.2512)
Pr (0.0018, 0.4033, 0.7084)
Pr (0.4982, 0.4033, 0.7084)
Pr (0.7500, 0.0076, 0.3091)
Ru (0.7500, 0.6563, 0.0269)
Ru (0.2500, 0.6345, 0.5981)
Ru (0.2500, 0.3437, 0.9731)
Ru (0.7500, 0.3655, 0.4019)
Ca (0.7500, 0.2227, 0.9810)
Ca (0.2500, 0.7773, 0.0190)

Computed properties:
Energy relative to the lowest polymorph listed for this composition   0 meV per atom
DFT formation energy   -0.44 eV per formula unit

18.
A relaxed CaPr2Ru crystal. Source: Alexandria via LeMat-Bulk, functional PBE.

Cell lengths 6.5861, 7.4908, 9.7174 Å; angles 90.00, 90.00, 90.00 degrees
Sites, in units of the cell vectors:
Pr (0.8268, 0.3269, 0.9338)
Pr (0.1732, 0.6731, 0.0662)
Pr (0.3268, 0.1731, 0.4338)
Pr (0.1732, 0.6731, 0.4338)
Pr (0.3268, 0.1731, 0.0662)
Pr (0.6732, 0.8269, 0.9338)
Pr (0.8268, 0.3269, 0.5662)
Pr (0.6732, 0.8269, 0.5662)
Ca (0.8605, 0.0459, 0.2500)
Ca (0.1395, 0.9541, 0.7500)
Ca (0.6395, 0.5459, 0.2500)
Ca (0.3605, 0.4541, 0.7500)
Ru (0.4314, 0.9026, 0.2500)
Ru (0.0686, 0.4026, 0.2500)
Ru (0.9314, 0.5974, 0.7500)
Ru (0.5686, 0.0974, 0.7500)

Computed properties:
Energy relative to the lowest polymorph listed for this composition   0 meV per atom
DFT formation energy   -0.44 eV per formula unit

19.
A relaxed CaPr2Ru crystal. Source: Alexandria via LeMat-Bulk, functional PBE.

Cell lengths 4.1198, 4.1198, 9.7327 Å; angles 77.78, 77.78, 60.00 degrees
Sites, in units of the cell vectors:
Ca (0.5010, 0.5010, 0.4971)
Pr (0.0540, 0.0540, 0.8380)
Pr (0.2789, 0.2789, 0.1633)
Ru (0.6661, 0.6661, 0.0017)

Computed properties:
Energy relative to the lowest polymorph listed for this composition   70 meV per atom
DFT formation energy   -0.16 eV per formula unit

20.
A relaxed CaPr3Ru crystal. Source: Alexandria via LeMat-Bulk, functional PBE.

Cell lengths 7.6829, 7.6967, 8.0845 Å; angles 89.99, 61.69, 59.97 degrees
Sites, in units of the cell vectors:
Ca (0.8891, 0.5101, 0.4758)
Ca (0.5373, 0.6863, 0.0033)
Pr (0.0361, 0.6848, 0.0073)
Pr (0.3903, 0.5117, 0.4718)
Pr (0.8937, 0.0079, 0.4719)
Pr (0.3904, 0.0077, 0.4718)
Pr (0.0360, 0.1887, 0.0073)
Pr (0.5327, 0.1885, 0.0072)
Ru (0.0539, 0.9277, 0.7296)
Ru (0.3724, 0.2688, 0.7495)

Computed properties:
Energy relative to the lowest polymorph listed for this composition   87 meV per atom
DFT formation energy   0.10 eV per formula unit